# Pm4Pr15Th

Pm4Pr15Th after structural relaxation (PBE, Alexandria).

abc: 5.2335 5.2335 26.1350
angles: 90.00 90.00 90.00
Last column: nearest neighbours and their distance in Å.
Fractional coordinates of all 20 atoms:
Pm 0.0000 0.0000 0.1996  12 Pr 3.69-3.74
Pm 0.0000 0.0000 0.4000  12 Pr 3.70-3.71
Pm 0.0000 0.0000 0.6000  12 Pr 3.70-3.71
Pm 0.0000 0.0000 0.8004  12 Pr 3.69-3.74
Pr 0.5000 0.5000 0.0000  8 Pr 3.65, 4 Th 3.70
Pr 0.5000 0.5000 0.2006  8 Pr 3.67-3.76, 4 Pm 3.70
Pr 0.5000 0.5000 0.4002  8 Pr 3.69-3.71, 4 Pm 3.70
Pr 0.5000 0.5000 0.5998  8 Pr 3.69-3.71, 4 Pm 3.70
Pr 0.5000 0.5000 0.7994  8 Pr 3.67-3.76, 4 Pm 3.70
Pr 0.5000 0.0000 0.0974  2 Th 3.65, 8 Pr 3.65-3.76, 2 Pm 3.74
Pr 0.5000 0.0000 0.2993  8 Pr 3.67-3.71, 4 Pm 3.69-3.71
Pr 0.5000 0.0000 0.5000  8 Pr 3.69-3.70, 4 Pm 3.70
Pr 0.5000 0.0000 0.7007  8 Pr 3.67-3.71, 4 Pm 3.69-3.71
Pr 0.5000 0.0000 0.9026  2 Th 3.65, 8 Pr 3.65-3.76, 2 Pm 3.74
Pr 0.0000 0.5000 0.0974  8 Pr 3.65-3.76, 2 Th 3.65, 2 Pm 3.74
Pr 0.0000 0.5000 0.2993  8 Pr 3.67-3.71, 4 Pm 3.69-3.71
Pr 0.0000 0.5000 0.5000  8 Pr 3.69-3.70, 4 Pm 3.70
Pr 0.0000 0.5000 0.7007  8 Pr 3.67-3.71, 4 Pm 3.69-3.71
Pr 0.0000 0.5000 0.9026  2 Th 3.65, 8 Pr 3.65-3.76, 2 Pm 3.74
Th 0.0000 0.0000 0.0000  12 Pr 3.65-3.70

Values from the calculation:
As for the crystal system: tetragonal. Its total energy is -97.600 eV for the cell shown. The density of states at the Fermi level comes out at 31.867 states/eV per cell.

# Pr2WN

Pr2WN after structural relaxation (PBE, Alexandria).

abc: 3.3464 3.3464 9.2093
angles: 79.53 79.53 60.00
Last column: nearest neighbours and their distance in Å.
Fractional coordinates of all 4 atoms:
Pr 0.1107 0.1107 0.6680  3 N 2.45
Pr 0.8893 0.8893 0.3320  3 N 2.45
W 0.0000 0.0000 0.0000  2 Pr 2.99, 6 W 3.35
N 0.5000 0.5000 0.5000  6 Pr 2.45

Values from the calculation:
As for the crystal system: trigonal. Its total energy is -29.461 eV for the cell shown. The density of states at the Fermi level comes out at 4.594 states/eV per cell.

# UHgBO5

UHgBO5 after structural relaxation (PBE, Alexandria).

abc: 5.6243 5.6243 8.1953
angles: 108.14 108.14 97.84
Last column: nearest neighbours and their distance in Å.
Fractional coordinates of all 16 atoms:
U 0.0000 0.0000 0.5000  6 O 2.08-2.22
U 0.0000 0.0000 0.0000  6 O 2.08-2.22
Hg 0.3464 0.6536 0.2500  3 O 2.09-2.26
Hg 0.6536 0.3464 0.7500  3 O 2.09-2.26
B 0.6814 0.3186 0.2500  4 O 1.49-1.50
B 0.3186 0.6814 0.7500  4 O 1.49-1.50
O 0.1001 0.8999 0.2500  1 Hg 2.09, 2 U 2.22
O 0.8999 0.1001 0.7500  1 Hg 2.09, 2 U 2.22
O 0.8420 0.2754 0.1348  1 B 1.49
O 0.1580 0.7246 0.8652  1 B 1.49
O 0.7246 0.1580 0.3652  1 B 1.49
O 0.2754 0.8420 0.6348  1 B 1.49
O 0.7466 0.6013 0.3685  1 B 1.50
O 0.2534 0.3987 0.6315  1 B 1.50
O 0.3987 0.2534 0.1315  1 B 1.50
O 0.6013 0.7466 0.8685  1 B 1.50

Values from the calculation:
As for the crystal system: monoclinic. Its total energy is -120.657 eV for the cell shown. The density of states at the Fermi level comes out at 2.138 states/eV per cell.

# Sn2Sb2Pb

Sn2Sb2Pb after structural relaxation (PBE, Alexandria).

abc: 4.3809 4.3809 8.5953
angles: 75.24 75.24 90.00
Last column: nearest neighbours and their distance in Å.
Fractional coordinates of all 5 atoms:
Pb 0.0000 0.0000 0.0000  8 Sb 3.45
Sb 0.4052 0.4052 0.1897  1 Sb 3.04, 4 Sn 3.31
Sb 0.5948 0.5948 0.8103  1 Sb 3.04, 4 Sn 3.31
Sn 0.7500 0.2500 0.5000  4 Sn 3.10, 4 Sb 3.31
Sn 0.2500 0.7500 0.5000  4 Sn 3.10, 4 Sb 3.31

Values from the calculation:
As for the crystal system: tetragonal. The excess energy over the best structure of this formula in the dataset comes out at 3.09 kcal/mol of atoms. The density of states at the Fermi level comes out at 2.629 states/eV per cell.

Please write out number 1 again, unchanged.
# Pm4Pr15Th

Pm4Pr15Th after structural relaxation (PBE, Alexandria).

abc: 5.2335 5.2335 26.1350
angles: 90.00 90.00 90.00
Last column: nearest neighbours and their distance in Å.
Fractional coordinates of all 20 atoms:
Pm 0.0000 0.0000 0.1996  12 Pr 3.69-3.74
Pm 0.0000 0.0000 0.4000  12 Pr 3.70-3.71
Pm 0.0000 0.0000 0.6000  12 Pr 3.70-3.71
Pm 0.0000 0.0000 0.8004  12 Pr 3.69-3.74
Pr 0.5000 0.5000 0.0000  8 Pr 3.65, 4 Th 3.70
Pr 0.5000 0.5000 0.2006  8 Pr 3.67-3.76, 4 Pm 3.70
Pr 0.5000 0.5000 0.4002  8 Pr 3.69-3.71, 4 Pm 3.70
Pr 0.5000 0.5000 0.5998  8 Pr 3.69-3.71, 4 Pm 3.70
Pr 0.5000 0.5000 0.7994  8 Pr 3.67-3.76, 4 Pm 3.70
Pr 0.5000 0.0000 0.0974  2 Th 3.65, 8 Pr 3.65-3.76, 2 Pm 3.74
Pr 0.5000 0.0000 0.2993  8 Pr 3.67-3.71, 4 Pm 3.69-3.71
Pr 0.5000 0.0000 0.5000  8 Pr 3.69-3.70, 4 Pm 3.70
Pr 0.5000 0.0000 0.7007  8 Pr 3.67-3.71, 4 Pm 3.69-3.71
Pr 0.5000 0.0000 0.9026  2 Th 3.65, 8 Pr 3.65-3.76, 2 Pm 3.74
Pr 0.0000 0.5000 0.0974  8 Pr 3.65-3.76, 2 Th 3.65, 2 Pm 3.74
Pr 0.0000 0.5000 0.2993  8 Pr 3.67-3.71, 4 Pm 3.69-3.71
Pr 0.0000 0.5000 0.5000  8 Pr 3.69-3.70, 4 Pm 3.70
Pr 0.0000 0.5000 0.7007  8 Pr 3.67-3.71, 4 Pm 3.69-3.71
Pr 0.0000 0.5000 0.9026  2 Th 3.65, 8 Pr 3.65-3.76, 2 Pm 3.74
Th 0.0000 0.0000 0.0000  12 Pr 3.65-3.70

Values from the calculation:
As for the crystal system: tetragonal. Its total energy is -97.600 eV for the cell shown. The density of states at the Fermi level comes out at 31.867 states/eV per cell.